VASP calculation (PBE-GGA) on a geometry-optimized Pm2Zn3Ag4 structure.

Results
The space-group type is No. 69. For the energy above the most stable polymorph in this dataset, the calculation gives 0.000 eV/atom. For the uncorrected energy, the calculation gives -3.050 eV/atom. As for the formation energy: -0.303 eV/atom.

Unit cell a=5.336 b=5.396 c=7.636 alpha=80.05 beta=69.55 gamma=60.36
Atoms (fractional coordinates):
Pm  0.631  0.000  0.737
Pm  0.369  0.000  0.263
Zn  0.000  0.500  0.000
Zn  0.000  0.000  0.000
Zn  0.500  0.500  0.000
Ag  0.993  0.673  0.341
Ag  0.666  0.327  0.341
Ag  0.007  0.327  0.659
Ag  0.334  0.673  0.659

=====

VASP calculation (PBE-GGA) on a geometry-optimized Pm6Zn5Ag structure.

Results
The space-group type is No. 71. For the uncorrected energy, the calculation gives -3.454 eV/atom. As for the formation energy: -0.310 eV/atom.

Unit cell a=5.180 b=8.991 c=8.991 alpha=119.95 beta=106.73 gamma=106.73
Atoms (fractional coordinates):
Zn  0.500  0.169  0.831
Zn  0.000  0.333  0.667
Zn  0.500  0.500  0.500
Zn  0.000  0.667  0.333
Zn  0.500  0.831  0.169
Ag  0.000  0.000  0.000
Pm  0.252  0.084  0.421
Pm  0.748  0.579  0.916
Pm  0.755  0.255  0.255
Pm  0.245  0.745  0.745
Pm  0.252  0.421  0.084
Pm  0.748  0.916  0.579

=====

VASP calculation (PBE-GGA) on a geometry-optimized PmZn4Ag4 structure.

Results
The space-group type is No. 137. For the uncorrected energy, the calculation gives -2.446 eV/atom. As for the formation energy: -0.085 eV/atom.

Unit cell a=6.068 b=6.068 c=9.385 alpha=90.00 beta=90.00 gamma=90.00
Atoms (fractional coordinates):
Pm  0.000  0.000  0.000
Pm  0.500  0.500  0.500
Zn  0.500  0.790  0.797
Zn  0.500  0.210  0.797
Zn  0.790  0.500  0.203
Zn  0.210  0.500  0.203
Zn  0.290  0.000  0.297
Zn  0.710  0.000  0.297
Zn  0.000  0.290  0.703
Zn  0.000  0.710  0.703
Ag  0.227  0.500  0.912
Ag  0.773  0.500  0.912
Ag  0.500  0.773  0.088
Ag  0.500  0.227  0.088
Ag  0.000  0.727  0.412
Ag  0.000  0.273  0.412
Ag  0.273  0.000  0.588
Ag  0.727  0.000  0.588

=====

VASP calculation (PBE-GGA) on a geometry-optimized PmZn4Ag8 structure.

Results
The space-group type is No. 139. For the uncorrected energy, the calculation gives -2.651 eV/atom. As for the formation energy: -0.139 eV/atom.

Unit cell a=5.295 b=7.164 c=7.164 alpha=82.15 beta=68.31 gamma=68.31
Atoms (fractional coordinates):
Pm  0.000  0.000  0.000
Zn  0.000  0.000  0.500
Zn  0.500  0.000  0.500
Zn  0.000  0.500  0.000
Zn  0.500  0.500  0.000
Ag  0.000  0.347  0.653
Ag  0.000  0.653  0.347
Ag  0.347  0.653  0.653
Ag  0.653  0.347  0.347
Ag  0.500  0.784  0.216
Ag  0.500  0.216  0.784
Ag  0.284  0.216  0.216
Ag  0.716  0.784  0.784

=====

VASP calculation (PBE-GGA) on a geometry-optimized Pm2Zn3Ag5 structure.

Results
The space-group type is No. 36. For the energy above the most stable polymorph in this dataset, the calculation gives 0.000 eV/atom. For the uncorrected energy, the calculation gives -2.965 eV/atom. As for the formation energy: -0.207 eV/atom.

Unit cell a=4.563 b=7.176 c=12.745 alpha=90.00 beta=100.31 gamma=90.00
Atoms (fractional coordinates):
Pm  0.481  0.742  0.961
Pm  0.174  0.737  0.348
Pm  0.826  0.237  0.652
Pm  0.519  0.242  0.039
Zn  0.768  0.727  0.536
Zn  0.606  0.554  0.211
Zn  0.052  0.936  0.104
Zn  0.232  0.227  0.464
Zn  0.948  0.436  0.896
Zn  0.394  0.054  0.789
Ag  0.395  0.434  0.790
Ag  0.289  0.536  0.577
Ag  0.711  0.036  0.423
Ag  0.124  0.228  0.249
Ag  0.296  0.927  0.591
Ag  0.948  0.044  0.896
Ag  0.704  0.427  0.409
Ag  0.876  0.728  0.751
Ag  0.052  0.544  0.104
Ag  0.605  0.934  0.210

=====

VASP calculation (PBE-GGA) on a geometry-optimized PmZn4Ag2 structure.

Results
The space-group type is No. 139. For the uncorrected energy, the calculation gives -2.440 eV/atom. As for the formation energy: -0.218 eV/atom.

Unit cell a=5.406 b=5.542 c=5.542 alpha=76.24 beta=60.81 gamma=60.81
Atoms (fractional coordinates):
Pm  0.000  0.000  0.000
Zn  0.689  0.000  0.622
Zn  0.311  0.000  0.378
Zn  0.311  0.378  0.000
Zn  0.689  0.622  0.000
Ag  0.750  0.500  0.500
Ag  0.250  0.500  0.500

=====

VASP calculation (PBE-GGA) on a geometry-optimized Pm3Zn6Ag20 structure.

Results
The space-group type is No. 225. For the uncorrected energy, the calculation gives -2.757 eV/atom. As for the formation energy: -0.035 eV/atom.

Unit cell a=9.272 b=9.272 c=9.272 alpha=60.00 beta=60.00 gamma=60.00
Atoms (fractional coordinates):
Pm  0.750  0.750  0.750
Pm  0.250  0.250  0.250
Pm  0.000  0.000  0.000
Zn  0.264  0.736  0.736
Zn  0.736  0.264  0.264
Zn  0.264  0.264  0.736
Zn  0.736  0.264  0.736
Zn  0.264  0.736  0.264
Zn  0.736  0.736  0.264
Ag  0.384  0.384  0.847
Ag  0.153  0.616  0.616
Ag  0.649  0.000  0.000
Ag  0.649  0.351  0.000
Ag  0.000  0.000  0.649
Ag  0.384  0.847  0.384
Ag  0.000  0.351  0.649
Ag  0.649  0.000  0.351
Ag  0.000  0.649  0.000
Ag  0.000  0.000  0.351
Ag  0.351  0.000  0.649
Ag  0.000  0.351  0.000
Ag  0.351  0.649  0.000
Ag  0.351  0.000  0.000
Ag  0.384  0.384  0.384
Ag  0.616  0.616  0.153
Ag  0.616  0.616  0.616
Ag  0.616  0.153  0.616
Ag  0.847  0.384  0.384
Ag  0.000  0.649  0.351

=====

VASP calculation (PBE-GGA) on a geometry-optimized Pm3Zn7Ag2 structure.

Results
The space-group type is No. 166. For the energy above the most stable polymorph in this dataset, the calculation gives 0.000 eV/atom. For the uncorrected energy, the calculation gives -2.689 eV/atom. As for the formation energy: -0.283 eV/atom.

Unit cell a=5.527 b=5.527 c=9.483 alpha=73.06 beta=73.06 gamma=60.00
Atoms (fractional coordinates):
Pm  0.000  0.000  0.000
Pm  0.858  0.858  0.425
Pm  0.142  0.142  0.575
Zn  0.500  0.500  0.500
Zn  0.921  0.414  0.251
Zn  0.414  0.921  0.251
Zn  0.414  0.414  0.251
Zn  0.079  0.586  0.749
Zn  0.586  0.586  0.749
Zn  0.586  0.079  0.749
Ag  0.665  0.665  0.004
Ag  0.335  0.335  0.996

=====

VASP calculation (PBE-GGA) on a geometry-optimized PmZn5Ag2 structure.

Results
The space-group type is No. 71. For the uncorrected energy, the calculation gives -2.255 eV/atom. As for the formation energy: -0.153 eV/atom.

Unit cell a=4.036 b=6.638 c=6.638 alpha=65.33 beta=72.30 gamma=72.30
Atoms (fractional coordinates):
Pm  0.000  0.000  0.000
Zn  0.000  0.500  0.500
Zn  0.627  0.562  0.185
Zn  0.373  0.438  0.815
Zn  0.373  0.815  0.438
Zn  0.627  0.185  0.562
Ag  0.750  0.750  0.750
Ag  0.250  0.250  0.250

=====

VASP calculation (PBE-GGA) on a geometry-optimized PmZn3Ag5 structure.

Results
The space-group type is No. 63. For the uncorrected energy, the calculation gives -2.603 eV/atom. As for the formation energy: -0.066 eV/atom.

Unit cell a=3.188 b=7.413 c=14.914 alpha=90.00 beta=90.00 gamma=102.42
Atoms (fractional coordinates):
Pm  0.840  0.679  0.750
Pm  0.160  0.321  0.250
Zn  0.368  0.735  0.933
Zn  0.851  0.702  0.250
Zn  0.368  0.735  0.567
Zn  0.632  0.265  0.433
Zn  0.149  0.298  0.750
Zn  0.632  0.265  0.067
Ag  0.810  0.621  0.424
Ag  0.190  0.379  0.924
Ag  0.000  0.000  0.500
Ag  0.000  0.000  0.000
Ag  0.470  0.941  0.157
Ag  0.530  0.059  0.843
Ag  0.530  0.059  0.657
Ag  0.810  0.621  0.076
Ag  0.190  0.379  0.576
Ag  0.470  0.941  0.343

=====

VASP calculation (PBE-GGA) on a geometry-optimized Pm3Zn2Ag structure.

Results
The space-group type is No. 123. For the uncorrected energy, the calculation gives -3.585 eV/atom. As for the formation energy: -0.310 eV/atom.

Unit cell a=3.692 b=3.692 c=10.967 alpha=90.00 beta=90.00 gamma=90.00
Atoms (fractional coordinates):
Pm  0.000  0.000  0.000
Pm  0.000  0.000  0.675
Pm  0.000  0.000  0.325
Zn  0.500  0.500  0.840
Zn  0.500  0.500  0.160
Ag  0.500  0.500  0.500

=====

VASP calculation (PBE-GGA) on a geometry-optimized Pm4Zn2Ag5 structure.

Results
The space-group type is No. 10. For the uncorrected energy, the calculation gives -3.492 eV/atom. As for the formation energy: -0.237 eV/atom.

Unit cell a=3.835 b=7.701 c=8.982 alpha=87.88 beta=90.00 gamma=90.00
Atoms (fractional coordinates):
Pm  0.500  0.735  0.623
Pm  0.500  0.215  0.861
Pm  0.500  0.265  0.377
Pm  0.500  0.785  0.139
Zn  0.000  0.065  0.623
Zn  0.000  0.935  0.377
Ag  0.000  0.589  0.360
Ag  0.000  0.130  0.123
Ag  0.000  0.500  0.000
Ag  0.000  0.870  0.877
Ag  0.000  0.411  0.640

=====

uncorrected energy of number 8 (Pm3Zn7Ag2)? -2.689 eV/atom